No. 1
# HoTaC2 PBE-GGA optimized geometry
# Total energy (eV per atom): -9.18
# ρ (g cm⁻³): 11.17
data_HoTaC2
_cell_length_a 5.7208
_cell_length_b 3.4768
_cell_length_c 11.0585
_cell_angle_alpha 90.00
_cell_angle_beta 90.00
_cell_angle_gamma 90.00
_symmetry_space_group_name_H-M 'P n m a'
_symmetry_Int_Tables_number 62
_symmetry_space_group_name_Hall '-P 2ac 2n'
loop_
_atom_site_label
_atom_site_fract_x
_atom_site_fract_y
_atom_site_fract_z
Ho1 0.0848 0.2500 0.1399
Ta1 0.0946 0.7500 0.3936
C1 0.1494 0.2500 0.7523
C2 0.2244 0.2500 0.4846

No. 2
# HoTa3C PBE-GGA optimized geometry
# Total energy (eV per atom): -9.84
# ρ (g cm⁻³): 13.63
data_HoTa3C
_cell_length_a 4.4432
_cell_length_b 4.4432
_cell_length_c 4.4432
_cell_angle_alpha 90.00
_cell_angle_beta 90.00
_cell_angle_gamma 90.00
_symmetry_space_group_name_H-M 'P m -3 m'
_symmetry_Int_Tables_number 221
_symmetry_space_group_name_Hall '-P 4 2 3'
loop_
_atom_site_label
_atom_site_fract_x
_atom_site_fract_y
_atom_site_fract_z
Ho1 0.0000 0.0000 0.0000
Ta1 0.0000 0.5000 0.5000
C1 0.5000 0.5000 0.5000

No. 3
# Tb2Ho2C3 PBE-GGA optimized geometry
# Total energy (eV per atom): -6.80
# ρ (g cm⁻³): 8.57
data_Tb2Ho2C3
_cell_length_a 12.9875
_cell_length_b 3.7015
_cell_length_c 6.0786
_cell_angle_alpha 90.00
_cell_angle_beta 114.88
_cell_angle_gamma 90.00
_symmetry_space_group_name_H-M 'C 1 2/m 1'
_symmetry_Int_Tables_number 12
_symmetry_space_group_name_Hall '-C 2y'
loop_
_atom_site_label
_atom_site_fract_x
_atom_site_fract_y
_atom_site_fract_z
Tb1 0.1359 0.0000 0.4951
Ho1 0.1331 0.5000 0.9458
C1 0.0000 0.5000 0.5000
C2 0.2209 0.0000 0.2060